No. 1
DFT (PBE+U) results for CoPb2O after structural relaxation.

Cell: 5.8260 5.8260 7.2049 Å, 66.15 66.15 90.00°
Closest atoms and distances in Å follow each position.
Fractional positions:
1 Pb 0.3750 0.4251 0.7500  2 O 2.38
2 Pb 0.8750 0.8249 0.7500  2 O 2.38
3 Pb 0.1751 0.6250 0.2500  2 O 2.38
4 Pb 0.5749 0.1250 0.2500  2 O 2.38
5 Co 0.0000 0.0000 0.0000  4 Pb 2.71
6 Co 0.7500 0.2500 0.5000  4 Pb 2.71
7 O 0.5000 0.5000 0.0000  4 Pb 2.38
8 O 0.2500 0.7500 0.5000  4 Pb 2.38

Density = 8.10 g/cm³
Space group = No. 122
Uncorrected energy = -4.221 eV per atom
Total moment = 1.8 μB per formula unit


No. 2
DFT (PBE+U) results for CoPbO3 after structural relaxation.

Cell: 5.1598 5.1594 6.3455 Å, 66.00 66.01 60.00°
Closest atoms and distances in Å follow each position.
Fractional positions:
1 O 0.3289 0.5396 0.1900  2 Co 1.91
2 O 0.9415 0.3289 0.1900  2 Co 1.91
3 O 0.5395 0.9415 0.1901  2 Co 1.91
4 O 0.0585 0.6711 0.8100  2 Co 1.91
5 O 0.4605 0.0585 0.8099  2 Co 1.91
6 O 0.6711 0.4604 0.8100  2 Co 1.91
7 Co 0.6653 0.6653 0.0041  6 O 1.91
8 Co 0.3347 0.3347 0.9959  6 O 1.91
9 Pb 0.1189 0.1189 0.6434  3 O 2.24
10 Pb 0.8811 0.8811 0.3566  3 O 2.24

Density = 8.08 g/cm³
Space group = No. 148
Uncorrected energy = -5.579 eV per atom
Total moment = 0.0 μB per formula unit


No. 3
DFT (PBE+U) results for CoPb3O after structural relaxation.

Cell: 4.9687 4.9687 4.9687 Å, 90.00 90.00 90.00°
Closest atoms and distances in Å follow each position.
Fractional positions:
1 Pb 0.5000 0.0000 0.0000  2 Co 2.48
2 Pb 0.0000 0.5000 0.0000  2 Co 2.48
3 Pb 0.0000 0.0000 0.5000  2 Co 2.48
4 O 0.5000 0.5000 0.5000  12 Pb 3.51
5 Co 0.0000 0.0000 0.0000  6 Pb 2.48

Density = 9.43 g/cm³
Space group = No. 221
Relative energy among the computed polymorphs = 0.354 eV per atom
Total moment = 0.8 μB per formula unit


No. 4
DFT (PBE+U) results for CoPb3O4 after structural relaxation.

Cell: 5.8077 7.4202 7.9276 Å, 90.00 90.00 90.00°
Closest atoms and distances in Å follow each position.
Fractional positions:
1 Pb 0.4899 0.2504 0.6934  3 O 2.17-2.36
2 Pb 0.9576 0.5000 0.8781  4 O 2.33-2.48
3 Pb 0.4576 0.0000 0.1219  4 O 2.33-2.48
4 Pb 0.9899 0.2496 0.3066  3 O 2.17-2.36
5 Pb 0.4899 0.7496 0.6934  3 O 2.17-2.36
6 Pb 0.9899 0.7504 0.3066  3 O 2.17-2.36
7 Co 0.9918 0.0000 0.8734  4 O 1.95-2.05
8 Co 0.4918 0.5000 0.1266  4 O 1.95-2.05
9 O 0.8412 0.5000 0.1597  1 Co 2.05
10 O 0.8420 0.7880 0.7786  1 Co 1.95, 1 Pb 2.17
11 O 0.8420 0.2120 0.7786  1 Co 1.95, 1 Pb 2.17
12 O 0.3412 0.0000 0.8403  1 Co 2.05
13 O 0.3420 0.7120 0.2214  1 Co 1.95, 1 Pb 2.17
14 O 0.0304 0.0000 0.1290  1 Co 2.04
15 O 0.5304 0.5000 0.8710  1 Co 2.04
16 O 0.3420 0.2880 0.2214  1 Co 1.95, 1 Pb 2.17

Density = 7.24 g/cm³
Space group = No. 31
Uncorrected energy = -5.502 eV per atom
Total moment = 3.0 μB per formula unit